Record 1
Material: Pu2TaVN5
Method: DFT, GGA-PBE
State: relaxed

Output
The calculation puts the density of states at the Fermi level at 1.57 states/eV/atom. Its total magnetic moment is 0.6 μB per cell. The space-group type is Cmc2_1, No. 36. For the uncorrected formation energy, the calculation gives -1155 meV/atom. As for the crystal system: orthorhombic.

Lattice parameters (Å, degrees): 6.7495 6.7495 10.1326 90.00 90.00 152.30
Fractional coordinates of all 18 atoms:
1 Pu 0.1080 0.8920 0.5000
2 Pu 0.1440 0.8560 0.1009
3 Pu 0.8560 0.1440 0.6009
4 Pu 0.8920 0.1080 0.0000
5 Ta 0.2135 0.7865 0.8135
6 Ta 0.7865 0.2135 0.3135
7 V 0.4806 0.5194 0.2696
8 V 0.5194 0.4806 0.7696
9 N 0.0485 0.9515 0.8593
10 N 0.2835 0.7165 0.4563
11 N 0.3213 0.6787 0.1791
12 N 0.3699 0.6301 0.8036
13 N 0.4891 0.5109 0.5895
14 N 0.5109 0.4891 0.0895
15 N 0.6301 0.3699 0.3036
16 N 0.6787 0.3213 0.6791
17 N 0.7165 0.2835 0.9563
18 N 0.9515 0.0485 0.3593

Record 2
Material: TaZnI3
Method: DFT, GGA-PBE
State: relaxed

Output
The calculation puts the density of states at the Fermi level at 1.08 states/eV/atom. Its total magnetic moment is 3.6 μB per cell. The value obtained for the energy above the most stable polymorph in this dataset is 0.709 eV/atom. The space-group type is Pm-3m, No. 221. For the uncorrected formation energy, the calculation gives 959 meV/atom. As for the crystal system: cubic.

Lattice parameters (Å, degrees): 5.4779 5.4779 5.4779 90.00 90.00 90.00
Fractional coordinates of all 5 atoms:
1 Ta 0.0000 0.0000 0.0000
2 Zn 0.5000 0.5000 0.5000
3 I 0.0000 0.5000 0.5000
4 I 0.5000 0.0000 0.5000
5 I 0.5000 0.5000 0.0000

Record 3
Material: Cs2UTc3O12
Method: DFT, GGA-PBE
State: relaxed

Output
The calculation puts the density of states at the Fermi level at 0.37 states/eV/atom. Its total magnetic moment is 1.8 μB per cell. The space-group type is R-3m, No. 166. For the uncorrected formation energy, the calculation gives -1893 meV/atom. As for the crystal system: trigonal.

Lattice parameters (Å, degrees): 7.5918 7.5918 7.5918 57.60 57.60 57.60
Fractional coordinates of all 18 atoms:
1 Cs 0.1197 0.1197 0.1197
2 Cs 0.8803 0.8803 0.8803
3 U 0.5000 0.5000 0.5000
4 Tc 0.0000 0.5000 0.5000
5 Tc 0.5000 0.0000 0.5000
6 Tc 0.5000 0.5000 0.0000
7 O 0.1664 0.5714 0.5714
8 O 0.1980 0.1980 0.5674
9 O 0.1980 0.5674 0.1980
10 O 0.4286 0.4286 0.8336
11 O 0.4286 0.8336 0.4286
12 O 0.4326 0.8020 0.8020
13 O 0.5674 0.1980 0.1980
14 O 0.5714 0.1664 0.5714
15 O 0.5714 0.5714 0.1664
16 O 0.8020 0.4326 0.8020
17 O 0.8020 0.8020 0.4326
18 O 0.8336 0.4286 0.4286

Record 4
Material: ReSiF2
Method: DFT, GGA-PBE
State: relaxed

Output
The calculation puts the density of states at the Fermi level at 0.79 states/eV/atom. Its total magnetic moment is 0.0 μB per cell. The value obtained for the energy above the most stable polymorph in this dataset is 0.000 eV/atom. The space-group type is R-3m, No. 166. For the uncorrected formation energy, the calculation gives -801 meV/atom. As for the crystal system: trigonal.

Lattice parameters (Å, degrees): 10.4741 10.4741 10.4741 14.44 14.44 14.44
Fractional coordinates of all 4 atoms:
1 Re 0.0000 0.0000 0.0000
2 Si 0.5000 0.5000 0.5000
3 F 0.4473 0.4473 0.4473
4 F 0.5527 0.5527 0.5527

Record 5
Material: YTm5Zn6
Method: DFT, GGA-PBE
State: relaxed

Output
The value obtained for the formation enthalpy at 0 K is -0.3531 eV/atom. The calculation puts the density of states at the Fermi level at 0.97 states/eV/atom. Its total magnetic moment is 0.0 μB per cell. The space-group type is Cmmm, No. 65. As for the crystal system: orthorhombic.

Lattice parameters (Å, degrees): 7.8978 7.8978 7.0681 90.00 90.00 143.20
Fractional coordinates of all 12 atoms:
1 Y 0.0000 0.0000 0.0000
2 Tm 0.0000 0.0000 0.5000
3 Tm 0.3324 0.6676 0.0000
4 Tm 0.3342 0.6658 0.5000
5 Tm 0.6658 0.3342 0.5000
6 Tm 0.6676 0.3324 0.0000
7 Zn 0.1680 0.8320 0.2531
8 Zn 0.1680 0.8320 0.7469
9 Zn 0.5000 0.5000 0.2529
10 Zn 0.5000 0.5000 0.7471
11 Zn 0.8320 0.1680 0.2531
12 Zn 0.8320 0.1680 0.7469

Record 6
Material: CaYFe2
Method: DFT, GGA-PBE
State: relaxed

Output
The value obtained for the formation enthalpy at 0 K is 0.4550 eV/atom. The calculation puts the density of states at the Fermi level at 1.96 states/eV/atom. Its total magnetic moment is 3.9 μB per cell. The space-group type is Cmmm, No. 65. As for the crystal system: orthorhombic.

Lattice parameters (Å, degrees): 4.9068 4.9068 3.4744 90.00 90.00 90.25
Fractional coordinates of all 4 atoms:
1 Ca 0.0000 0.0000 0.0000
2 Y 0.5000 0.5000 0.0000
3 Fe 0.0000 0.5000 0.5000
4 Fe 0.5000 0.0000 0.5000